## HfZnNiW2 (PBE)

Data for an optimized crystal structure of HfZnNiW2.

Results
total magnetic moment = 0.000 μB per atom
calculated total energy = -7.327 eV/atom
V = 18.06 A^3/atom
Fermi-level density of states = 1.590 states/eV per atom
DFT formation energy = 1257 meV per atom

Geometry as CIF:
```
data_HfZnNiW2
_cell_length_a 4.631
_cell_length_b 4.631
_cell_length_c 4.212
_cell_angle_alpha 90.00
_cell_angle_beta 90.00
_cell_angle_gamma 90.00
_symmetry_space_group_name_H-M 'P 4/m m m'
_symmetry_Int_Tables_number 123
_symmetry_space_group_name_Hall '-P 4 2'
loop_
_atom_site_label
_atom_site_fract_x
_atom_site_fract_y
_atom_site_fract_z
Hf1 0.000 0.000 0.000
Zn1 0.500 0.500 0.500
Ni1 0.500 0.500 0.000
W1 0.000 0.500 0.500
```